No. 1
First-principles (PBE-GGA) data for an optimized crystal structure of HgPd3S, as listed in the Alexandria database.

Results
- DOS(E_F): 1.8 states/eV per cell

The structure in CIF format:
```
data_HgPd3S
_chemical_formula_sum 'Hg1 Pd3 S1'
_space_group_name_H-M_alt 'P m -3 m'
_space_group_IT_number 221
_space_group_name_Hall '-P 4 2 3'
_cell_length_a 4.5290
_cell_length_b 4.5290
_cell_length_c 4.5290
_cell_angle_alpha 90.00
_cell_angle_beta 90.00
_cell_angle_gamma 90.00
loop_
_atom_site_label
_atom_site_type_symbol
_atom_site_fract_x
_atom_site_fract_y
_atom_site_fract_z
Hg1 Hg 0.0000 0.0000 0.0000
Pd1 Pd 0.0000 0.5000 0.5000
S1 S 0.5000 0.5000 0.5000
```


No. 2
First-principles (PBE-GGA) data for an optimized crystal structure of HgPd7S2, as listed in the Alexandria database.

Results
- DOS(E_F): 14.3 states/eV per cell

The structure in CIF format:
```
data_HgPd7S2
_chemical_formula_sum 'Hg2 Pd14 S4'
_space_group_name_H-M_alt 'I 4/m m m'
_space_group_IT_number 139
_space_group_name_Hall '-I 4 2'
_cell_length_a 4.0628
_cell_length_b 4.0628
_cell_length_c 19.8337
_cell_angle_alpha 90.00
_cell_angle_beta 90.00
_cell_angle_gamma 90.00
loop_
_atom_site_label
_atom_site_type_symbol
_atom_site_fract_x
_atom_site_fract_y
_atom_site_fract_z
Hg1 Hg 0.0000 0.0000 0.0000
Pd1 Pd 0.0000 0.0000 0.5000
Pd2 Pd 0.0000 0.5000 0.1056
Pd3 Pd 0.0000 0.5000 0.2500
S1 S 0.0000 0.0000 0.3281
```


No. 3
First-principles (PBE-GGA) data for an optimized crystal structure of Hg2Pd3S2, as listed in the Alexandria database.

Results
- DOS(E_F): 17.2 states/eV per cell

The structure in CIF format:
```
data_Hg2Pd3S2
_chemical_formula_sum 'Hg8 Pd12 S8'
_space_group_name_H-M_alt 'I 21 3'
_space_group_IT_number 199
_space_group_name_Hall 'I 2b 2c 3'
_cell_length_a 8.2374
_cell_length_b 8.2374
_cell_length_c 8.2374
_cell_angle_alpha 90.00
_cell_angle_beta 90.00
_cell_angle_gamma 90.00
loop_
_atom_site_label
_atom_site_type_symbol
_atom_site_fract_x
_atom_site_fract_y
_atom_site_fract_z
Hg1 Hg 0.0015 0.4985 0.5015
Pd1 Pd 0.0000 0.2500 0.2657
S1 S 0.2199 0.2801 0.7199
```


No. 4
First-principles (PBE-GGA) data for an optimized crystal structure of Hg2Pd4S, as listed in the Alexandria database.

Results
- DOS(E_F): 6.5 states/eV per cell

The structure in CIF format:
```
data_Hg2Pd4S
_chemical_formula_sum 'Hg4 Pd8 S2'
_space_group_name_H-M_alt 'I 4/m m m'
_space_group_IT_number 139
_space_group_name_Hall '-I 4 2'
_cell_length_a 4.4485
_cell_length_b 4.4485
_cell_length_c 14.1176
_cell_angle_alpha 90.00
_cell_angle_beta 90.00
_cell_angle_gamma 90.00
loop_
_atom_site_label
_atom_site_type_symbol
_atom_site_fract_x
_atom_site_fract_y
_atom_site_fract_z
Hg1 Hg 0.0000 0.0000 0.1448
Pd1 Pd 0.0000 0.0000 0.3356
Pd2 Pd 0.0000 0.5000 0.0000
S1 S 0.0000 0.0000 0.5000
```


No. 5
First-principles (PBE-GGA) data for an optimized crystal structure of Hg5Pd3S12, as listed in the Alexandria database.

Results
- DOS(E_F): 94.6 states/eV per cell

The structure in CIF format:
```
data_Hg5Pd3S12
_chemical_formula_sum 'Hg40 Pd24 S96'
_space_group_name_H-M_alt 'I a -3 d'
_space_group_IT_number 230
_space_group_name_Hall '-I 4bd 2c 3'
_cell_length_a 17.3661
_cell_length_b 17.3661
_cell_length_c 17.3661
_cell_angle_alpha 90.00
_cell_angle_beta 90.00
_cell_angle_gamma 90.00
loop_
_atom_site_label
_atom_site_type_symbol
_atom_site_fract_x
_atom_site_fract_y
_atom_site_fract_z
Hg1 Hg 0.0000 0.0000 0.0000
Hg2 Hg 0.0000 0.2500 0.3750
Pd1 Pd 0.0000 0.2500 0.1250
S1 S 0.0265 0.0713 0.1926
```


No. 6
First-principles (PBE-GGA) data for an optimized crystal structure of HgPdS2, as listed in the Alexandria database.

The structure in CIF format:
```
data_HgPdS2
_chemical_formula_sum 'Hg3 Pd3 S6'
_space_group_name_H-M_alt 'R 3 m'
_space_group_IT_number 160
_space_group_name_Hall 'R 3 -2"'
_cell_length_a 3.5547
_cell_length_b 3.5547
_cell_length_c 25.1176
_cell_angle_alpha 90.00
_cell_angle_beta 90.00
_cell_angle_gamma 120.00
loop_
_atom_site_label
_atom_site_type_symbol
_atom_site_fract_x
_atom_site_fract_y
_atom_site_fract_z
Hg1 Hg 0.0000 0.0000 0.0000
Pd1 Pd 0.0000 0.0000 0.8291
S1 S 0.0000 0.0000 0.2124
S2 S 0.0000 0.0000 0.4457
```


No. 7
First-principles (PBE-GGA) data for an optimized crystal structure of HgPd2S3, as listed in the Alexandria database.

Results
- DOS(E_F): 2.3 states/eV per cell

The structure in CIF format:
```
data_HgPd2S3
_chemical_formula_sum 'Hg2 Pd4 S6'
_space_group_name_H-M_alt 'P -3 m 1'
_space_group_IT_number 164
_space_group_name_Hall '-P 3 2"'
_cell_length_a 7.1267
_cell_length_b 7.1267
_cell_length_c 5.3615
_cell_angle_alpha 90.00
_cell_angle_beta 90.00
_cell_angle_gamma 120.00
loop_
_atom_site_label
_atom_site_type_symbol
_atom_site_fract_x
_atom_site_fract_y
_atom_site_fract_z
Hg1 Hg 0.3333 0.6667 0.3800
Pd1 Pd 0.0000 0.0000 0.0000
Pd2 Pd 0.0000 0.5000 0.0000
S1 S 0.1729 0.3459 0.7720
```


No. 8
First-principles (PBE-GGA) data for an optimized crystal structure of HgPd3S, as listed in the Alexandria database.

Results
- DOS(E_F): 6.4 states/eV per cell

The structure in CIF format:
```
data_HgPd3S
_chemical_formula_sum 'Hg2 Pd6 S2'
_space_group_name_H-M_alt 'P m n 21'
_space_group_IT_number 31
_cell_length_a 5.7536
_cell_length_b 6.5257
_cell_length_c 4.6912
_cell_angle_alpha 90.00
_cell_angle_beta 90.00
_cell_angle_gamma 90.00
loop_
_space_group_symop_operation_xyz
'x,y,z'
'-x+1/2,-y,z+1/2'
'-x,y,z'
'x+1/2,-y,z+1/2'
loop_
_atom_site_label
_atom_site_type_symbol
_atom_site_fract_x
_atom_site_fract_y
_atom_site_fract_z
Hg1 Hg 0.0000 0.1169 0.0000
Pd1 Pd 0.0000 0.8793 0.5000
Pd2 Pd 0.2462 0.2806 0.5063
S1 S 0.0000 0.5442 0.3289
```


The calculation returns the following calculated total energy values, one per record and in order: -4.100 -4.624 -3.690 -3.635 -3.272 -3.550 -4.103 -4.166 eV/atom.
The calculation returns the following magnetization values, one per record and in order: 0.000 0.000 0.000 0.000 0.000 0.000 0.000 0.000 μB per formula unit.
The calculation returns the following formation energy from raw total energies values, one per record and in order: -0.5 -1.3 -1.4 0.1 1.2 -0.5 -1.5 -0.8 eV per formula unit.